1.
# Li2CoCu

Crystalline Li2CoCu at its relaxed geometry (PBE, Alexandria).

Lattice parameters (Å, degrees): 2.454 4.276 4.683 90.00 90.16 90.00
Sites, in units of the cell vectors:
Li1 0.000 0.000 0.000
Li2 0.494 0.500 0.807
Co1 0.998 0.500 0.327
Cu1 0.502 0.000 0.476

electronic total energy: -3.63 eV per atom

2.
# Zn2BrCl

Crystalline Zn2BrCl at its relaxed geometry (PBE, Alexandria).

Lattice parameters (Å, degrees): 9.014 9.014 9.014 147.42 147.42 46.74
Sites, in units of the cell vectors:
Zn1 0.022 0.625 0.897
Zn2 0.375 0.272 0.397
Zn3 0.728 0.125 0.103
Zn4 0.875 0.978 0.603
Br1 0.250 0.750 0.500
Br2 0.500 0.500 0.000
Cl1 0.000 0.000 0.000
Cl2 0.750 0.250 0.500

raw formation energy: -137 meV/atom

3.
# RbMg14Co

Crystalline RbMg14Co at its relaxed geometry (PBE, Alexandria).

Lattice parameters (Å, degrees): 10.581 6.496 6.496 58.44 90.00 90.00
Sites, in units of the cell vectors:
Rb1 0.000 0.000 0.000
Mg1 0.000 0.004 0.493
Mg2 0.000 0.493 0.004
Mg3 0.208 0.612 0.612
Mg4 0.252 0.134 0.618
Mg5 0.252 0.618 0.134
Mg6 0.275 0.133 0.133
Mg7 0.500 0.463 0.463
Mg8 0.500 0.471 0.955
Mg9 0.500 0.955 0.471
Mg10 0.500 0.959 0.959
Mg11 0.725 0.133 0.133
Mg12 0.748 0.134 0.618
Mg13 0.748 0.618 0.134
Mg14 0.792 0.612 0.612
Co1 0.000 0.437 0.437

electronic total energy: -1.70 eV per atom

4.
# Tb8Tm2Th

Crystalline Tb8Tm2Th at its relaxed geometry (PBE, Alexandria).

Lattice parameters (Å, degrees): 10.179 10.179 5.541 93.21 93.21 39.27
Sites, in units of the cell vectors:
Tb1 0.047 0.047 0.235
Tb2 0.104 0.631 0.270
Tb3 0.314 0.314 0.773
Tb4 0.369 0.896 0.730
Tb5 0.631 0.104 0.270
Tb6 0.686 0.686 0.227
Tb7 0.896 0.369 0.730
Tb8 0.953 0.953 0.765
Tm1 0.217 0.217 0.253
Tm2 0.783 0.783 0.747
Th1 0.500 0.500 0.000

electronic total energy: -4.67 eV per atom

5.
# NbV3Pt

Crystalline NbV3Pt at its relaxed geometry (PBE, Alexandria).

Lattice parameters (Å, degrees): 4.619 4.619 4.619 90.00 90.00 90.00
Sites, in units of the cell vectors:
Nb1 0.000 0.000 0.000
V1 0.000 0.500 0.500
V2 0.500 0.000 0.500
V3 0.500 0.500 0.000
Pt1 0.500 0.500 0.500

electronic total energy: -7.55 eV per atom

6.
# KTaNO2

Crystalline KTaNO2 at its relaxed geometry (PBE, Alexandria).

Lattice parameters (Å, degrees): 4.131 4.131 4.051 90.00 90.00 90.00
Sites, in units of the cell vectors:
K1 0.000 0.000 0.000
Ta1 0.500 0.500 0.500
N1 0.000 0.000 0.500
O1 0.000 0.500 0.000
O2 0.500 0.000 0.000

raw formation energy: 1774 meV/atom

7.
# TbZn2SiAu4

Crystalline TbZn2SiAu4 at its relaxed geometry (PBE, Alexandria).

Lattice parameters (Å, degrees): 9.179 9.179 9.179 27.92 27.92 27.92
Sites, in units of the cell vectors:
Tb1 0.000 0.000 0.000
Zn1 0.253 0.253 0.253
Zn2 0.747 0.747 0.747
Si1 0.500 0.500 0.500
Au1 0.131 0.131 0.131
Au2 0.397 0.397 0.397
Au3 0.603 0.603 0.603
Au4 0.869 0.869 0.869

raw formation energy: -320 meV/atom

8.
# Bi2Pb2Au

Crystalline Bi2Pb2Au at its relaxed geometry (PBE, Alexandria).

Lattice parameters (Å, degrees): 8.992 8.992 8.992 152.18 152.18 39.76
Sites, in units of the cell vectors:
Bi1 0.088 0.088 0.000
Bi2 0.912 0.912 0.000
Pb1 0.250 0.750 0.500
Pb2 0.750 0.250 0.500
Au1 0.500 0.500 0.000

electronic total energy: -3.37 eV per atom

9.
# GeSbS2

Crystalline GeSbS2 at its relaxed geometry (PBE, Alexandria).

Lattice parameters (Å, degrees): 8.505 8.505 8.505 24.31 24.31 24.31
Sites, in units of the cell vectors:
Ge1 0.000 0.000 0.000
Sb1 0.500 0.500 0.500
S1 0.392 0.392 0.392
S2 0.608 0.608 0.608

raw formation energy: -79 meV/atom

10.
# NbCrCd3

Crystalline NbCrCd3 at its relaxed geometry (PBE, Alexandria).

Lattice parameters (Å, degrees): 4.874 4.874 4.874 90.00 90.00 90.00
Sites, in units of the cell vectors:
Nb1 0.000 0.000 0.000
Cr1 0.500 0.500 0.500
Cd1 0.000 0.500 0.500
Cd2 0.500 0.000 0.500
Cd3 0.500 0.500 0.000

electronic total energy: -3.00 eV per atom

11.
# TbErPu2

Crystalline TbErPu2 at its relaxed geometry (PBE, Alexandria).

Lattice parameters (Å, degrees): 5.450 5.450 5.450 60.00 60.00 60.00
Sites, in units of the cell vectors:
Tb1 0.000 0.000 0.000
Er1 0.250 0.250 0.250
Pu1 0.500 0.500 0.500
Pu2 0.750 0.750 0.750

electronic total energy: -9.16 eV per atom

12.
# BeMo4W

Crystalline BeMo4W at its relaxed geometry (PBE, Alexandria).

Lattice parameters (Å, degrees): 5.153 5.153 5.153 60.00 60.00 60.00
Sites, in units of the cell vectors:
Be1 0.000 0.000 0.000
Mo1 0.123 0.626 0.626
Mo2 0.626 0.123 0.626
Mo3 0.626 0.626 0.123
Mo4 0.626 0.626 0.626
W1 0.250 0.250 0.250

electronic total energy: -9.54 eV per atom